Record 1
This record from Alexandria via LeMat-Bulk describes BaPr2ZnS5 at its PBEsol-relaxed geometry. The functional is SCAN.

Geometry as CIF:
```
data_BaPr2ZnS5
_chemical_formula_sum 'Ba2 Pr4 Zn2 S10'
_cell_length_a 8.740
_cell_length_b 8.740
_cell_length_c 8.740
_cell_angle_alpha 126.77
_cell_angle_beta 126.77
_cell_angle_gamma 78.62
_symmetry_space_group_name_H-M 'P 1'
_symmetry_Int_Tables_number 1
loop_
_symmetry_equiv_pos_as_xyz
'x,y,z'
loop_
_atom_site_label
_atom_site_fract_x
_atom_site_fract_y
_atom_site_fract_z
_atom_site_occupancy
Ba1 0.250 0.250 0.000 1
Ba2 0.750 0.750 0.000 1
Pr1 0.161 0.661 0.821 1
Pr2 0.339 0.161 0.500 1
Pr3 0.661 0.839 0.500 1
Pr4 0.839 0.339 0.179 1
Zn1 0.250 0.750 0.500 1
Zn2 0.750 0.250 0.500 1
S1 0.000 0.000 0.000 1
S2 0.015 0.215 0.500 1
S3 0.215 0.715 0.200 1
S4 0.285 0.485 0.500 1
S5 0.485 0.985 0.200 1
S6 0.500 0.500 0.000 1
S7 0.515 0.015 0.800 1
S8 0.715 0.515 0.500 1
S9 0.785 0.285 0.800 1
S10 0.985 0.785 0.500 1
```

Values from the calculation:
Crystal system: tetragonal
Mass density: 5.2 Mg/m³
Space-group type: I4/mcm, No. 140
Raw formation energy: -2072 meV/atom
DOS(E_F): 0.0 states/eV/cell

=====

Record 2
This record from Alexandria via LeMat-Bulk describes TcAsSBr2 at its PBEsol-relaxed geometry. The functional is SCAN.

Geometry as CIF:
```
data_TcAsSBr2
_chemical_formula_sum 'Tc1 As1 S1 Br2'
_cell_length_a 4.912
_cell_length_b 4.912
_cell_length_c 4.951
_cell_angle_alpha 90.00
_cell_angle_beta 90.00
_cell_angle_gamma 90.00
_symmetry_space_group_name_H-M 'P 1'
_symmetry_Int_Tables_number 1
loop_
_symmetry_equiv_pos_as_xyz
'x,y,z'
loop_
_atom_site_label
_atom_site_fract_x
_atom_site_fract_y
_atom_site_fract_z
_atom_site_occupancy
Tc1 0.000 0.000 0.000 1
As1 0.500 0.500 0.000 1
S1 0.500 0.500 0.500 1
Br1 0.000 0.500 0.500 1
Br2 0.500 0.000 0.500 1
```

Values from the calculation:
Crystal system: tetragonal
Mass density: 5.1 Mg/m³
Space-group type: P4/mmm, No. 123
Raw formation energy: 1074 meV/atom
Relative energy among the computed polymorphs: 408 meV per atom
DOS(E_F): 2.9 states/eV/cell

=====

Record 3
This record from Alexandria via LeMat-Bulk describes CuAg3S at its PBEsol-relaxed geometry. The functional is SCAN.

Geometry as CIF:
```
data_CuAg3S
_chemical_formula_sum 'Cu1 Ag3 S1'
_cell_length_a 4.689
_cell_length_b 4.689
_cell_length_c 4.689
_cell_angle_alpha 90.00
_cell_angle_beta 90.00
_cell_angle_gamma 90.00
_symmetry_space_group_name_H-M 'P 1'
_symmetry_Int_Tables_number 1
loop_
_symmetry_equiv_pos_as_xyz
'x,y,z'
loop_
_atom_site_label
_atom_site_fract_x
_atom_site_fract_y
_atom_site_fract_z
_atom_site_occupancy
Cu1 0.000 0.000 0.000 1
Ag1 0.000 0.500 0.500 1
Ag2 0.500 0.000 0.500 1
Ag3 0.500 0.500 0.000 1
S1 0.500 0.500 0.500 1
```

Values from the calculation:
Crystal system: cubic
Mass density: 6.8 Mg/m³
Space-group type: Pm-3m, No. 221
Raw formation energy: 620 meV/atom
DOS(E_F): 1.5 states/eV/cell

=====

Record 4
This record from Alexandria via LeMat-Bulk describes HfIn2AgC at its PBEsol-relaxed geometry. The functional is SCAN.

Geometry as CIF:
```
data_HfIn2AgC
_chemical_formula_sum 'Hf1 In2 Ag1 C1'
_cell_length_a 4.585
_cell_length_b 4.585
_cell_length_c 4.369
_cell_angle_alpha 90.00
_cell_angle_beta 90.00
_cell_angle_gamma 90.00
_symmetry_space_group_name_H-M 'P 1'
_symmetry_Int_Tables_number 1
loop_
_symmetry_equiv_pos_as_xyz
'x,y,z'
loop_
_atom_site_label
_atom_site_fract_x
_atom_site_fract_y
_atom_site_fract_z
_atom_site_occupancy
Hf1 0.000 0.000 0.000 1
In1 0.000 0.500 0.500 1
In2 0.500 0.000 0.500 1
Ag1 0.500 0.500 0.000 1
C1 0.000 0.000 0.500 1
```

Values from the calculation:
Crystal system: tetragonal
Mass density: 9.5 Mg/m³
Space-group type: P4/mmm, No. 123
Calculated formation energy: 0.3989 eV per atom
DOS(E_F): 2.1 states/eV/cell

=====

Record 5
This record from Alexandria via LeMat-Bulk describes Zr5Fe24 at its PBEsol-relaxed geometry. The functional is SCAN.

Geometry as CIF:
```
data_Zr5Fe24
_chemical_formula_sum 'Zr5 Fe24'
_cell_length_a 7.768
_cell_length_b 7.768
_cell_length_c 7.768
_cell_angle_alpha 109.47
_cell_angle_beta 109.47
_cell_angle_gamma 109.47
_symmetry_space_group_name_H-M 'P 1'
_symmetry_Int_Tables_number 1
loop_
_symmetry_equiv_pos_as_xyz
'x,y,z'
loop_
_atom_site_label
_atom_site_fract_x
_atom_site_fract_y
_atom_site_fract_z
_atom_site_occupancy
Zr1 0.000 0.000 0.000 1
Zr2 0.000 0.000 0.618 1
Zr3 0.000 0.618 0.000 1
Zr4 0.382 0.382 0.382 1
Zr5 0.618 0.000 0.000 1
Fe1 0.000 0.193 0.379 1
Fe2 0.000 0.379 0.193 1
Fe3 0.000 0.395 0.668 1
Fe4 0.000 0.668 0.395 1
Fe5 0.185 0.807 0.807 1
Fe6 0.193 0.000 0.379 1
Fe7 0.193 0.379 0.000 1
Fe8 0.273 0.605 0.605 1
Fe9 0.332 0.332 0.727 1
Fe10 0.332 0.727 0.332 1
Fe11 0.379 0.000 0.193 1
Fe12 0.379 0.193 0.000 1
Fe13 0.395 0.000 0.668 1
Fe14 0.395 0.668 0.000 1
Fe15 0.605 0.273 0.605 1
Fe16 0.605 0.605 0.273 1
Fe17 0.621 0.621 0.815 1
Fe18 0.621 0.815 0.621 1
Fe19 0.668 0.000 0.395 1
Fe20 0.668 0.395 0.000 1
Fe21 0.727 0.332 0.332 1
Fe22 0.807 0.185 0.807 1
Fe23 0.807 0.807 0.185 1
Fe24 0.815 0.621 0.621 1
```

Values from the calculation:
Crystal system: cubic
Mass density: 8.3 Mg/m³
Space-group type: I-43m, No. 217
Calculated formation energy: -0.0269 eV per atom
DOS(E_F): 21.9 states/eV/cell

=====

Record 6
This record from Alexandria via LeMat-Bulk describes LiPt3N at its PBEsol-relaxed geometry. The functional is SCAN.

Geometry as CIF:
```
data_LiPt3N
_chemical_formula_sum 'Li1 Pt3 N1'
_cell_length_a 4.135
_cell_length_b 4.135
_cell_length_c 4.135
_cell_angle_alpha 90.00
_cell_angle_beta 90.00
_cell_angle_gamma 90.00
_symmetry_space_group_name_H-M 'P 1'
_symmetry_Int_Tables_number 1
loop_
_symmetry_equiv_pos_as_xyz
'x,y,z'
loop_
_atom_site_label
_atom_site_fract_x
_atom_site_fract_y
_atom_site_fract_z
_atom_site_occupancy
Li1 0.000 0.000 0.000 1
Pt1 0.000 0.000 0.500 1
Pt2 0.000 0.500 0.000 1
Pt3 0.500 0.000 0.000 1
N1 0.500 0.500 0.500 1
```

Values from the calculation:
Crystal system: cubic
Mass density: 14.2 Mg/m³
Space-group type: Pm-3m, No. 221
Raw formation energy: 1768 meV/atom
DOS(E_F): 3.9 states/eV/cell